(1)
Computed, not measured: a geometry-optimized Ca2Hg2H structure at the PBE level of DFT.

```
10
Lattice="-2.202 0.024 -6.654 -3.226 -6.134 1.045 -4.327 2.521 1.440" Properties=species:S:1:pos:R:3 pbc="T T T"
H 0.000 0.000 0.000
H -2.714 -3.055 -2.805
Ca -3.331 -5.002 -1.253
Ca -4.002 -4.173 -4.719
Ca -2.096 -1.109 -4.356
Ca -1.425 -1.937 -0.890
Hg -4.565 -2.695 0.428
Hg -6.341 -3.967 -2.680
Hg -5.189 -0.895 -4.597
Hg -3.413 0.377 -1.488
```

E_tot	-18.5	eV for the cell shown

(2)
Computed, not measured: a geometry-optimized BiAuC2N structure at the PBE level of DFT.

```
5
Lattice="3.972 0.000 0.000 0.000 4.727 0.000 0.000 0.000 3.972" Properties=species:S:1:pos:R:3 pbc="T T T"
C 0.000 0.000 1.986
C 1.986 0.000 0.000
Au 1.986 2.364 1.986
Bi 0.000 2.364 0.000
N 0.000 0.000 0.000
```

formation energy from raw total energies	2.637	eV per atom

(3)
Computed, not measured: a geometry-optimized NaSr6Ni2 structure at the PBE level of DFT.

```
18
Lattice="9.159 0.526 -2.996 -5.089 7.774 -2.605 -0.019 -0.526 9.636" Properties=species:S:1:pos:R:3 pbc="T T T"
Na -2.554 3.624 3.516
Na 0.000 0.000 0.000
Sr 2.878 2.547 -0.534
Sr 1.172 5.228 4.570
Sr 4.450 5.754 -2.698
Sr -0.400 2.021 6.734
Sr -1.982 6.222 -2.648
Sr 6.032 1.553 6.683
Sr 3.131 6.222 1.066
Sr 0.919 1.553 2.969
Sr -2.204 7.500 3.033
Sr 6.254 0.274 1.002
Sr 4.426 2.868 3.518
Sr -0.376 4.907 0.517
Ni 2.551 2.865 6.099
Ni 1.499 4.910 -2.064
Ni 3.615 0.000 2.627
Ni 5.525 0.000 4.014
```

ΔE_f	0	kJ per mole of atoms

(4)
Computed, not measured: a geometry-optimized Ca2NiSe structure at the PBE level of DFT.

```
4
Lattice="4.143 0.000 0.000 0.000 4.139 0.000 0.000 0.000 5.878" Properties=species:S:1:pos:R:3 pbc="T T T"
Ni 0.000 0.000 2.200
Ca 0.000 0.000 5.147
Ca 2.071 2.070 2.205
Se 2.071 2.070 5.143
```

formation energy from raw total energies	-0.785	eV per atom